Record 1
Here is a relaxed SrTbAu2 crystal from the Alexandria database. Energies are from PBE.

Theoretical density, Mg/m³: 9.05
Distance to the lowest polymorph of the same formula, meV/atom: 108.8

```
data_SrTbAu2
_cell_length_a 4.2166
_cell_length_b 4.2166
_cell_length_c 22.9059
_cell_angle_alpha 90.00
_cell_angle_beta 90.00
_cell_angle_gamma 120.00
_space_group_name_H-M_alt 'R 3 m'
_space_group_IT_number 160
_space_group_name_Hall 'R 3 -2"'
loop_
_atom_site_label
_atom_site_fract_x
_atom_site_fract_y
_atom_site_fract_z
_atom_site_occupancy
Sr1 0.0000 0.0000 0.0000 1
Tb1 0.0000 0.0000 0.8299 1
Au1 0.0000 0.0000 0.2386 1
Au2 0.0000 0.0000 0.4246 1
```



Record 2
Here is a relaxed SrTb2Au3 crystal from the Alexandria database. Energies are from PBE.

Theoretical density, Mg/m³: 10.97
Uncorrected energy, Ha/atom: -0.15722

```
data_SrTb2Au3
_cell_length_a 3.670
_cell_length_b 3.670
_cell_length_c 11.195
_cell_angle_alpha 90.00
_cell_angle_beta 90.00
_cell_angle_gamma 90.00
_space_group_name_H-M_alt 'P 4/m m m'
_space_group_IT_number 123
_space_group_name_Hall '-P 4 2'
loop_
_atom_site_label
_atom_site_fract_x
_atom_site_fract_y
_atom_site_fract_z
_atom_site_occupancy
Sr1 0.000 0.000 0.000 1
Tb1 0.000 0.000 0.338 1
Au1 0.500 0.500 0.197 1
Au2 0.500 0.500 0.500 1
```



Record 3
Here is a relaxed SrTbTe3Au crystal from the Alexandria database. Energies are from PBE.

Theoretical density, Mg/m³: 7.18
Uncorrected energy, Ha/atom: -0.16036

```
data_SrTbTe3Au
_cell_length_a 8.671
_cell_length_b 4.392
_cell_length_c 10.344
_cell_angle_alpha 90.00
_cell_angle_beta 104.09
_cell_angle_gamma 90.00
_space_group_name_H-M_alt 'P 1 21/m 1'
_space_group_IT_number 11
loop_
_space_group_symop_operation_xyz
'x,y,z'
'-x,-y,-z'
'-x,y+1/2,-z'
'x,-y+1/2,z'
loop_
_atom_site_label
_atom_site_fract_x
_atom_site_fract_y
_atom_site_fract_z
_atom_site_occupancy
Sr1 0.209 0.250 0.275 1
Tb1 0.317 0.750 0.830 1
Te1 0.076 0.250 0.861 1
Te2 0.272 0.750 0.528 1
Te3 0.425 0.750 0.146 1
Au1 0.090 0.250 0.593 1
```